Record 1
VASP calculation (PBE) on a geometry-optimized Y2ZrAs structure.

Summary:
The calculation puts the density of states at the Fermi level at 4.6 states/eV/cell. As for the space group: I-4m2 (119). Its formation energy is -325 meV per atom. The density comes out at 5.89 Mg/m³.

Unit cell a=5.9272 b=5.9272 c=5.9272 alpha=136.62 beta=136.62 gamma=63.02
Last column: nearest neighbours and their distance in Å.
Fractional positions:
Y: 0.0000 0.0000 0.0000  4 Zr 3.10, 4 As 3.34, 4 Y 3.34
Y: 0.2500 0.7500 0.5000  4 As 3.10, 4 Zr 3.34, 4 Y 3.34
As: 0.7500 0.2500 0.5000  8 Y 3.10-3.34, 4 Zr 3.34
Zr: 0.5000 0.5000 0.0000  8 Y 3.10-3.34, 4 As 3.34



Record 2
VASP calculation (PBE) on a geometry-optimized Y2ZrAs structure.

Summary:
The calculation puts the density of states at the Fermi level at 4.4 states/eV/cell. As for the space group: C2/m (12). Its formation energy is -286 meV per atom. The density comes out at 5.89 Mg/m³.

Unit cell a=7.3230 b=5.4702 c=3.3918 alpha=89.92 beta=62.53 gamma=121.76
Last column: nearest neighbours and their distance in Å.
Fractional positions:
Y: 0.0000 0.0000 0.0000  4 As 3.22, 4 Zr 3.22, 4 Y 3.25-3.39
Y: 0.5000 0.0000 0.5000  4 Zr 3.22, 4 As 3.22, 4 Y 3.25-3.39
As: 0.5000 0.5000 0.0000  8 Y 3.22, 2 Zr 3.25, 2 As 3.39
Zr: 0.0000 0.5000 0.5000  8 Y 3.22, 2 As 3.25, 2 Zr 3.39



Record 3
VASP calculation (PBE) on a geometry-optimized Y3ZrAs structure.

Summary:
The energy above the lowest structure with this stoichiometry is 0.749 eV/atom. The calculation puts the density of states at the Fermi level at 3.7 states/eV/cell. As for the space group: Pm-3m (221). Its formation energy is 639 meV per atom. The density comes out at 4.48 Mg/m³.

Unit cell a=5.4342 b=5.4342 c=5.4342 alpha=90.00 beta=90.00 gamma=90.00
Last column: nearest neighbours and their distance in Å.
Fractional positions:
Y: 0.0000 0.5000 0.0000  2 Zr 2.72
Y: 0.0000 0.0000 0.5000  2 Zr 2.72
Y: 0.5000 0.0000 0.0000  2 Zr 2.72
As: 0.5000 0.5000 0.5000  12 Y 3.84
Zr: 0.0000 0.0000 0.0000  6 Y 2.72



Record 4
VASP calculation (PBE) on a geometry-optimized YZrAs4 structure.

Summary:
The calculation puts the density of states at the Fermi level at 4.9 states/eV/cell. As for the space group: F-43m (216). Its formation energy is -118 meV per atom. The density comes out at 6.36 Mg/m³.

Unit cell a=5.6163 b=5.6163 c=5.6163 alpha=60.00 beta=60.00 gamma=60.00
Last column: nearest neighbours and their distance in Å.
Fractional positions:
Y: 0.7500 0.7500 0.7500  12 As 3.29, 4 Zr 3.44
Zr: 0.0000 0.0000 0.0000  12 As 3.29, 4 Y 3.44
As: 0.8769 0.3744 0.3744  6 As 2.79-2.82
As: 0.3744 0.3744 0.8769  6 As 2.79-2.82
As: 0.3744 0.8769 0.3744  6 As 2.79-2.82
As: 0.3744 0.3744 0.3744  6 As 2.79-2.82



Record 5
VASP calculation (PBE) on a geometry-optimized YZr3As structure.

Summary:
The energy above the lowest structure with this stoichiometry is 1.559 eV/atom. The calculation puts the density of states at the Fermi level at 8.1 states/eV/cell. As for the space group: Pm-3m (221). Its formation energy is 1417 meV per atom. The density comes out at 5.26 Mg/m³.

Unit cell a=5.1699 b=5.1699 c=5.1699 alpha=90.00 beta=90.00 gamma=90.00
Last column: nearest neighbours and their distance in Å.
Fractional positions:
Y: 0.0000 0.0000 0.0000  6 Zr 2.58
As: 0.5000 0.5000 0.5000  12 Zr 3.66
Zr: 0.0000 0.5000 0.0000  2 Y 2.58
Zr: 0.0000 0.0000 0.5000  2 Y 2.58
Zr: 0.5000 0.0000 0.0000  2 Y 2.58



Record 6
VASP calculation (PBE) on a geometry-optimized Y2ZrAs structure.

Summary:
The calculation puts the density of states at the Fermi level at 3.7 states/eV/cell. As for the space group: Imm2 (44). Its formation energy is -468 meV per atom. The density comes out at 5.57 Mg/m³.

Unit cell a=6.2746 b=6.2746 c=6.2746 alpha=146.49 beta=130.56 gamma=61.05
Last column: nearest neighbours and their distance in Å.
Fractional positions:
Y: 0.9526 0.9526 0.0000  2 As 2.92
Y: 0.2536 0.7536 0.5000  4 As 3.19, 2 Y 3.39, 2 Zr 3.40
As: 0.7408 0.2408 0.5000  2 Zr 2.72, 2 Y 2.92
Zr: 0.5530 0.5530 0.0000  2 As 2.72



> Which of these has the highest formation energy?

YZr3As



> Which value of formation energy does entry 1 give?

-325 meV per atom



> The highest formation energy belongs to which entry?

YZr3As